1.
Here is crystalline MgZnCu at its relaxed geometry from Alexandria via LeMat-Bulk. Energies are from PBEsol.

Summary:
Magnetic moment = 0.00 μB per formula unit
Final energy = -2.75 eV per atom
Energy of formation = -19.43 kJ per mole of atoms

Unit cell a=5.001 b=5.038 c=6.984 alpha=90.00 beta=90.00 gamma=90.00
Positions (direct):
Mg 0.000 0.250 0.121
Mg 0.000 0.750 0.879
Mg 0.500 0.250 0.379
Mg 0.500 0.750 0.621
Zn 0.000 0.000 0.500
Zn 0.000 0.500 0.500
Zn 0.500 0.000 0.000
Zn 0.500 0.500 0.000
Cu 0.250 0.250 0.750
Cu 0.250 0.750 0.250
Cu 0.750 0.250 0.750
Cu 0.750 0.750 0.250

=====

2.
Here is crystalline MgZn8Cu4 at its relaxed geometry from Alexandria via LeMat-Bulk. Energies are from PBEsol.

Summary:
Relative energy among the computed polymorphs = 0.0556 eV/atom
Magnetic moment = 0.00 μB per formula unit
Final energy = -2.50 eV per atom
Energy of formation = -5.45 kJ per mole of atoms

Unit cell a=7.079 b=7.079 c=7.079 alpha=93.81 beta=93.81 gamma=150.11
Positions (direct):
Mg 0.000 0.000 0.000
Zn 0.075 0.381 0.456
Zn 0.155 0.770 0.925
Zn 0.230 0.155 0.384
Zn 0.381 0.925 0.306
Zn 0.619 0.075 0.694
Zn 0.770 0.845 0.616
Zn 0.845 0.230 0.075
Zn 0.925 0.619 0.544
Cu 0.302 0.537 0.840
Cu 0.463 0.302 0.765
Cu 0.537 0.698 0.235
Cu 0.698 0.463 0.160

=====

3.
Here is crystalline Mg2Zn2Cu at its relaxed geometry from Alexandria via LeMat-Bulk. Energies are from PBEsol.

Summary:
Relative energy among the computed polymorphs = 0.0163 eV/atom
Magnetic moment = 0.00 μB per formula unit
Final energy = -2.27 eV per atom
Energy of formation = -7.87 kJ per mole of atoms

Unit cell a=4.168 b=5.037 c=7.868 alpha=90.00 beta=90.00 gamma=90.00
Positions (direct):
Mg 0.000 0.000 0.190
Mg 0.000 0.000 0.810
Mg 0.500 0.500 0.310
Mg 0.500 0.500 0.690
Zn 0.000 0.256 0.500
Zn 0.000 0.744 0.500
Zn 0.500 0.244 0.000
Zn 0.500 0.756 0.000
Cu 0.000 0.500 0.000
Cu 0.500 0.000 0.500

=====

4.
Here is crystalline MgZnCu at its relaxed geometry from Alexandria via LeMat-Bulk. Energies are from PBEsol.

Summary:
Magnetic moment = 0.00 μB per formula unit
Final energy = -2.68 eV per atom
Energy of formation = -12.92 kJ per mole of atoms

Unit cell a=4.078 b=9.091 c=4.946 alpha=90.00 beta=90.00 gamma=90.00
Positions (direct):
Mg 0.000 0.215 0.250
Mg 0.000 0.785 0.750
Mg 0.500 0.285 0.750
Mg 0.500 0.715 0.250
Zn 0.000 0.500 0.000
Zn 0.000 0.500 0.500
Zn 0.500 0.000 0.000
Zn 0.500 0.000 0.500
Cu 0.000 0.073 0.750
Cu 0.000 0.927 0.250
Cu 0.500 0.427 0.250
Cu 0.500 0.573 0.750

=====

5.
Here is crystalline Mg2Zn2Cu at its relaxed geometry from Alexandria via LeMat-Bulk. Energies are from PBEsol.

Summary:
Relative energy among the computed polymorphs = 0.0418 eV/atom
Magnetic moment = 0.00 μB per formula unit
Final energy = -2.24 eV per atom
Energy of formation = -5.41 kJ per mole of atoms

Unit cell a=4.426 b=4.426 c=13.781 alpha=90.00 beta=90.00 gamma=120.00
Positions (direct):
Mg 0.000 0.000 0.107
Mg 0.000 0.000 0.893
Mg 0.333 0.667 0.559
Mg 0.333 0.667 0.774
Mg 0.667 0.333 0.226
Mg 0.667 0.333 0.441
Zn 0.000 0.000 0.319
Zn 0.000 0.000 0.681
Zn 0.333 0.667 0.347
Zn 0.333 0.667 0.986
Zn 0.667 0.333 0.014
Zn 0.667 0.333 0.653
Cu 0.000 0.000 0.500
Cu 0.333 0.667 0.167
Cu 0.667 0.333 0.833

=====

6.
Here is crystalline MgZnCu at its relaxed geometry from Alexandria via LeMat-Bulk. Energies are from PBEsol.

Summary:
Magnetic moment = 0.00 μB per formula unit
Final energy = -2.64 eV per atom
Energy of formation = -8.92 kJ per mole of atoms

Unit cell a=4.273 b=4.273 c=5.596 alpha=90.00 beta=90.00 gamma=120.00
Positions (direct):
Mg 0.000 0.000 0.000
Mg 0.000 0.000 0.500
Zn 0.333 0.667 0.250
Zn 0.667 0.333 0.750
Cu 0.333 0.667 0.750
Cu 0.667 0.333 0.250

=====

7.
Here is crystalline MgZn8Cu4 at its relaxed geometry from Alexandria via LeMat-Bulk. Energies are from PBEsol.

Summary:
Relative energy among the computed polymorphs = 0.0000 eV/atom
Magnetic moment = 0.00 μB per formula unit
Final energy = -2.55 eV per atom
Energy of formation = -10.81 kJ per mole of atoms

Unit cell a=6.481 b=6.481 c=6.481 alpha=98.36 beta=98.36 gamma=135.18
Positions (direct):
Mg 0.000 0.000 0.000
Zn 0.000 0.344 0.344
Zn 0.000 0.656 0.656
Zn 0.284 0.500 0.784
Zn 0.344 0.000 0.344
Zn 0.500 0.284 0.784
Zn 0.500 0.716 0.216
Zn 0.656 0.000 0.656
Zn 0.716 0.500 0.216
Cu 0.000 0.000 0.500
Cu 0.000 0.500 0.000
Cu 0.500 0.000 0.000
Cu 0.500 0.500 0.500

=====

8.
Here is crystalline MgZnCu at its relaxed geometry from Alexandria via LeMat-Bulk. Energies are from PBEsol.

Summary:
Magnetic moment = 0.00 μB per formula unit
Final energy = -2.67 eV per atom
Energy of formation = -11.95 kJ per mole of atoms

Unit cell a=4.992 b=7.259 c=5.030 alpha=90.00 beta=90.00 gamma=90.00
Positions (direct):
Mg 0.146 0.102 0.250
Mg 0.146 0.398 0.750
Mg 0.854 0.602 0.250
Mg 0.854 0.898 0.750
Zn 0.333 0.750 0.000
Zn 0.333 0.750 0.500
Zn 0.667 0.250 0.000
Zn 0.667 0.250 0.500
Cu 0.361 0.041 0.750
Cu 0.361 0.459 0.250
Cu 0.639 0.541 0.750
Cu 0.639 0.959 0.250

=====

9.
Here is crystalline MgZn2Cu at its relaxed geometry from Alexandria via LeMat-Bulk. Energies are from PBEsol.

Summary:
Magnetic moment = 0.00 μB per formula unit
Final energy = -2.33 eV per atom
Energy of formation = -2.88 kJ per mole of atoms

Unit cell a=2.773 b=4.209 c=5.130 alpha=90.00 beta=103.94 gamma=90.00
Positions (direct):
Mg 0.000 0.000 0.000
Zn 0.344 0.500 0.730
Zn 0.656 0.500 0.270
Cu 0.500 0.000 0.500

=====

10.
Here is crystalline Mg5ZnCu at its relaxed geometry from Alexandria via LeMat-Bulk. Energies are from PBEsol.

Summary:
Magnetic moment = 0.00 μB per formula unit
Final energy = -2.08 eV per atom
Energy of formation = -0.44 kJ per mole of atoms

Unit cell a=4.413 b=4.413 c=6.990 alpha=90.00 beta=90.00 gamma=90.00
Positions (direct):
Mg 0.000 0.000 0.000
Mg 0.000 0.500 0.288
Mg 0.000 0.500 0.712
Mg 0.500 0.000 0.288
Mg 0.500 0.000 0.712
Zn 0.500 0.500 0.000
Cu 0.000 0.000 0.500

=====

11.
Here is crystalline Mg2Zn3Cu2 at its relaxed geometry from Alexandria via LeMat-Bulk. Energies are from PBEsol.

Summary:
Magnetic moment = 0.00 μB per formula unit
Final energy = -2.48 eV per atom
Energy of formation = -6.62 kJ per mole of atoms

Unit cell a=4.931 b=4.931 c=11.559 alpha=103.69 beta=103.69 gamma=49.93
Positions (direct):
Mg 0.039 0.039 0.381
Mg 0.112 0.112 0.139
Mg 0.888 0.888 0.861
Mg 0.961 0.961 0.619
Zn 0.183 0.183 0.846
Zn 0.348 0.348 0.464
Zn 0.386 0.386 0.047
Zn 0.614 0.614 0.953
Zn 0.652 0.652 0.536
Zn 0.817 0.817 0.154
Cu 0.275 0.275 0.661
Cu 0.408 0.408 0.267
Cu 0.592 0.592 0.733
Cu 0.725 0.725 0.339

=====

12.
Here is crystalline MgZn2Cu at its relaxed geometry from Alexandria via LeMat-Bulk. Energies are from PBEsol.

Summary:
Magnetic moment = 0.00 μB per formula unit
Final energy = -2.37 eV per atom
Energy of formation = -6.24 kJ per mole of atoms

Unit cell a=4.167 b=4.167 c=8.063 alpha=90.00 beta=90.00 gamma=120.00
Positions (direct):
Mg 0.333 0.667 0.250
Mg 0.667 0.333 0.750
Zn 0.333 0.667 0.584
Zn 0.333 0.667 0.916
Zn 0.667 0.333 0.084
Zn 0.667 0.333 0.416
Cu 0.000 0.000 0.000
Cu 0.000 0.000 0.500

=====

> The lowest final energy belongs to which entry?

number 1